# RbHfTe2N, relaxed, DFT PBE
data_RbHfTe2N
_chemical_formula_sum 'Rb1 Hf1 Te2 N1'
_cell_length_a 5.9711
_cell_length_b 5.9711
_cell_length_c 4.1018
_cell_angle_alpha 90.00
_cell_angle_beta 90.00
_cell_angle_gamma 90.00
_space_group_name_H-M_alt 'P 4/m m m'
_space_group_IT_number 123
_space_group_name_Hall '-P 4 2'
loop_
_atom_site_label
_atom_site_fract_x
_atom_site_fract_y
_atom_site_fract_z
Rb1 0.0000 0.0000 0.0000
Hf1 0.5000 0.5000 0.5000
Te1 0.0000 0.5000 0.0000
N1 0.0000 0.0000 0.5000
# Total energy   -3.316 eV/atom
# Spin magnetization   1.49 μB per formula unit
# Relative energy among the computed polymorphs   2.209 eV/atom